# 1
## PrPuRh (PBE)

Data for a relaxed PrPuRh crystal.

Unit cell a=4.8957 b=4.8957 c=4.8957 alpha=60.00 beta=60.00 gamma=60.00
Positions (direct):
1 Pr 0.0000 0.0000 0.0000
2 Pu 0.5000 0.5000 0.5000
3 Rh 0.2500 0.2500 0.2500

Output
- Uncorrected energy: -9.06 eV/atom

---

# 2
## Er8Cu3Sb2 (PBE)

Data for a relaxed Er8Cu3Sb2 crystal.

Unit cell a=6.1326 b=7.1667 c=8.7255 alpha=114.25 beta=95.56 gamma=90.00
Positions (direct):
1 Cu 0.0000 0.8342 0.0000
2 Cu 0.5000 0.0000 0.0000
3 Cu 0.0000 0.1658 0.0000
4 Sb 0.3350 0.2615 0.5231
5 Sb 0.6650 0.7385 0.4769
6 Er 0.3513 0.8506 0.2221
7 Er 0.8383 0.5703 0.1405
8 Er 0.1519 0.8395 0.6790
9 Er 0.6487 0.1494 0.7779
10 Er 0.6487 0.6285 0.7779
11 Er 0.3513 0.3715 0.2221
12 Er 0.8481 0.1605 0.3210
13 Er 0.1617 0.4297 0.8595

Output
- Uncorrected energy: -4.66 eV/atom
- Formation energy without anion corrections: -0.27 eV per atom

---

# 3
## LuZnCuAs2 (PBE)

Data for a relaxed LuZnCuAs2 crystal.

Unit cell a=4.0905 b=4.0905 c=6.6680 alpha=90.00 beta=90.00 gamma=120.00
Positions (direct):
1 Cu 0.6667 0.3333 0.6403
2 As 0.0000 0.0000 0.7538
3 As 0.6667 0.3333 0.2443
4 Lu 0.3333 0.6667 0.9829
5 Zn 0.0000 0.0000 0.3787

Output
- Uncorrected energy: -4.47 eV/atom

---

# 4
## KHg2Se2O6 (PBE)

Data for a relaxed KHg2Se2O6 crystal.

Unit cell a=6.5212 b=6.4789 c=7.3561 alpha=112.55 beta=112.76 gamma=52.21
Positions (direct):
1 O 0.9513 0.0068 0.7345
2 O 0.3415 0.4828 0.7791
3 O 0.4797 0.7563 0.7211
4 O 0.0487 0.9932 0.2655
5 O 0.6585 0.5172 0.2209
6 O 0.5203 0.2437 0.2789
7 Hg 0.8128 0.4372 0.9447
8 Hg 0.1872 0.5628 0.0553
9 Se 0.7824 0.2817 0.3603
10 Se 0.2176 0.7183 0.6397
11 K 0.5000 0.0000 0.5000

Output
- Uncorrected energy: -4.26 eV/atom
- Formation energy without anion corrections: -0.77 eV per atom

---

# 5
## Er2NpS5 (PBE)

Data for a relaxed Er2NpS5 crystal.

Unit cell a=5.3407 b=5.1420 c=7.8570 alpha=79.83 beta=70.13 gamma=58.71
Positions (direct):
1 S 0.0000 0.5000 0.5000
2 S 0.4919 0.8283 0.1880
3 S 0.1799 0.8283 0.8120
4 S 0.8201 0.1717 0.1880
5 S 0.5081 0.1717 0.8120
6 Er 0.8204 0.5000 0.8591
7 Er 0.1796 0.5000 0.1409
8 Np 0.5000 0.5000 0.5000

Output
- Uncorrected energy: -6.77 eV/atom
- Formation energy without anion corrections: -1.43 eV per atom

---

# 6
## TlNi2Cl (PBE)

Data for a relaxed TlNi2Cl crystal.

Unit cell a=4.6149 b=4.6149 c=4.6149 alpha=60.00 beta=60.00 gamma=60.00
Positions (direct):
1 Ni 0.2500 0.2500 0.2500
2 Ni 0.0000 0.0000 0.0000
3 Cl 0.5000 0.5000 0.5000
4 Tl 0.7500 0.7500 0.7500

Output
- Uncorrected energy: -3.30 eV/atom
- Formation energy without anion corrections: 0.64 eV per atom

---

# 7
## Mg2AlC2 (PBE)

Data for a relaxed Mg2AlC2 crystal.

Unit cell a=4.1640 b=4.1640 c=5.1866 alpha=66.33 beta=66.33 gamma=90.00
Positions (direct):
1 C 0.2500 0.7500 0.5000
2 C 0.7500 0.2500 0.5000
3 Al 0.0000 0.0000 0.0000
4 Mg 0.6728 0.6728 0.6544
5 Mg 0.3272 0.3272 0.3456

Output
- Uncorrected energy: -3.72 eV/atom

---

# 8
## Cr2CoAg (PBE)

Data for a relaxed Cr2CoAg crystal.

Unit cell a=2.5664 b=2.5664 c=7.8068 alpha=90.00 beta=90.00 gamma=90.01
Positions (direct):
1 Cr 0.0000 0.0000 0.5338
2 Cr 0.0000 0.0000 0.9662
3 Co 0.5000 0.5000 0.7500
4 Ag 0.5000 0.5000 0.2500

Output
- Uncorrected energy: -6.87 eV/atom

---

> What is the formula in the fourth record?

KHg2Se2O6

---

Repeat the third record exactly.
## LuZnCuAs2 (PBE)

Data for a relaxed LuZnCuAs2 crystal.

Unit cell a=4.0905 b=4.0905 c=6.6680 alpha=90.00 beta=90.00 gamma=120.00
Positions (direct):
1 Cu 0.6667 0.3333 0.6403
2 As 0.0000 0.0000 0.7538
3 As 0.6667 0.3333 0.2443
4 Lu 0.3333 0.6667 0.9829
5 Zn 0.0000 0.0000 0.3787

Output
- Uncorrected energy: -4.47 eV/atom